Compound: NaPaMn2O8
Source: Alexandria
Functional: PBE with a Hubbard U
Structure: optimized geometry

The structure belongs to space group I-4m2 (No. 119); the cell edges are 7.186, 7.186 and 6.281 Å and the angles 90.00°, 90.00° and 90.00°. The inequivalent atoms are Na at (0.000, 0.000, 0.000), Pa at (0.000, 0.500, 0.250), Mn at (0.000, 0.000, 0.500), Mn at (0.000, 0.500, 0.750), O at (0.000, 0.193, 0.338) and O at (0.000, 0.326, 0.938).

As for the total energy: -172.7 eV for the cell shown. The calculation puts the volume at 13.51 Å³ per atom.